(1)
{"formula": "PrYEr", "functional": "GGA-PBE", "state": "relaxed", "lattice": [[3.603, 0.000, 0.000], [-1.801, 3.120, 0.000], [0.000, 0.000, 8.781]], "species": ["Pr", "Y", "Er"], "frac_coords": [[0.000, 0.000, 0.000], [0.333, 0.667, 0.659], [0.667, 0.333, 0.335]], "sg": "P3m1", "e_above_lowest_polymorph_ev_per_atom": 0.000}

(2)
{"formula": "Pr2Y7Er4", "functional": "GGA-PBE", "state": "relaxed", "lattice": [[6.103, 0.000, 0.000], [-3.052, 5.285, 0.000], [0.000, 0.000, 13.348]], "species": ["Pr", "Pr", "Y", "Y", "Y", "Y", "Y", "Y", "Y", "Er", "Er", "Er", "Er"], "frac_coords": [[0.333, 0.667, 0.000], [0.667, 0.333, 0.000], [0.000, 0.000, 0.000], [0.000, 0.354, 0.219], [0.000, 0.646, 0.781], [0.354, 0.000, 0.219], [0.354, 0.354, 0.781], [0.646, 0.000, 0.781], [0.646, 0.646, 0.219], [0.000, 0.000, 0.396], [0.000, 0.000, 0.604], [0.333, 0.667, 0.500], [0.667, 0.333, 0.500]], "sg": "P-31m"}

(3)
{"formula": "PrY4Er10", "functional": "GGA-PBE", "state": "relaxed", "lattice": [[-4.874, 4.874, 5.397], [4.874, -4.874, 5.397], [4.874, 4.874, -5.397]], "species": ["Pr", "Y", "Y", "Y", "Y", "Er", "Er", "Er", "Er", "Er", "Er", "Er", "Er", "Er", "Er"], "frac_coords": [[0.000, 0.000, 0.000], [0.207, 0.556, 0.763], [0.444, 0.207, 0.651], [0.556, 0.793, 0.349], [0.793, 0.444, 0.237], [0.049, 0.949, 0.659], [0.051, 0.710, 0.099], [0.250, 0.750, 0.500], [0.290, 0.390, 0.341], [0.390, 0.049, 0.099], [0.610, 0.951, 0.901], [0.710, 0.610, 0.659], [0.750, 0.250, 0.500], [0.949, 0.290, 0.901], [0.951, 0.051, 0.341]], "sg": "I4/m"}

Calculated formation energy (eV per atom), listed in the same order as above: 0.02, 0.20, 0.47